# 1
First-principles (PBE) data for KBi2SbPt after structural relaxation, as listed in Alexandria via LeMat-Bulk.

Results
* magnetic moment: 0.0 Bohr magnetons per cell
* uncorrected formation energy: 0.0327 eV per atom
* Fermi-level density of states: 4.6 states/eV/f.u.

The structure in CIF format:
```
data_KBi2SbPt
_chemical_formula_sum 'K1 Bi2 Sb1 Pt1'
_space_group_name_H-M_alt 'P 4/m m m'
_space_group_IT_number 123
_space_group_name_Hall '-P 4 2'
_cell_length_a 5.6591
_cell_length_b 5.6591
_cell_length_c 5.2994
_cell_angle_alpha 90.00
_cell_angle_beta 90.00
_cell_angle_gamma 90.00
loop_
_atom_site_label
_atom_site_type_symbol
_atom_site_fract_x
_atom_site_fract_y
_atom_site_fract_z
K1 K 0.0000 0.0000 0.0000
Bi1 Bi 0.0000 0.5000 0.5000
Sb1 Sb 0.5000 0.5000 0.0000
Pt1 Pt 0.5000 0.5000 0.5000
```

=====

# 2
First-principles (PBE) data for LaTiGa3 after structural relaxation, as listed in Alexandria via LeMat-Bulk.

Results
* ΔH_f (0 K): 5.98 eV/f.u.
* magnetic moment: 0.0 Bohr magnetons per cell
* Fermi-level density of states: 6.0 states/eV/f.u.

The structure in CIF format:
```
data_LaTiGa3
_chemical_formula_sum 'La1 Ti1 Ga3'
_space_group_name_H-M_alt 'P m -3 m'
_space_group_IT_number 221
_space_group_name_Hall '-P 4 2 3'
_cell_length_a 5.4284
_cell_length_b 5.4284
_cell_length_c 5.4284
_cell_angle_alpha 90.00
_cell_angle_beta 90.00
_cell_angle_gamma 90.00
loop_
_atom_site_label
_atom_site_type_symbol
_atom_site_fract_x
_atom_site_fract_y
_atom_site_fract_z
La1 La 0.0000 0.0000 0.0000
Ti1 Ti 0.5000 0.5000 0.5000
Ga1 Ga 0.0000 0.0000 0.5000
```

=====

# 3
First-principles (PBE) data for Pm2Pr2InGa4 after structural relaxation, as listed in Alexandria via LeMat-Bulk.

Results
* ΔH_f (0 K): -1.99 eV/f.u.
* magnetic moment: 0.0 Bohr magnetons per cell
* Fermi-level density of states: 8.7 states/eV/f.u.

The structure in CIF format:
```
data_Pm2Pr2InGa4
_chemical_formula_sum 'Pm4 Pr4 In2 Ga8'
_space_group_name_H-M_alt 'I 4/m m m'
_space_group_IT_number 139
_space_group_name_Hall '-I 4 2'
_cell_length_a 7.2355
_cell_length_b 7.2355
_cell_length_c 9.3612
_cell_angle_alpha 90.00
_cell_angle_beta 90.00
_cell_angle_gamma 90.00
loop_
_atom_site_label
_atom_site_type_symbol
_atom_site_fract_x
_atom_site_fract_y
_atom_site_fract_z
Pm1 Pm 0.0000 0.0000 0.1846
Pr1 Pr 0.0000 0.5000 0.2500
In1 In 0.0000 0.0000 0.5000
Ga1 Ga 0.2423 0.2423 0.0000
```

=====

# 4
First-principles (PBE) data for Rb2ZnHg after structural relaxation, as listed in Alexandria via LeMat-Bulk.

Results
* ΔH_f (0 K): 0.49 eV/f.u.
* magnetic moment: 0.0 Bohr magnetons per cell
* excess energy over the best structure of this formula in the dataset: 2.112 kcal/mol of atoms
* Fermi-level density of states: 3.7 states/eV/f.u.

The structure in CIF format:
```
data_Rb2ZnHg
_chemical_formula_sum 'Rb8 Zn4 Hg4'
_space_group_name_H-M_alt 'I -4 2 d'
_space_group_IT_number 122
_space_group_name_Hall 'I -4 2bw'
_cell_length_a 9.8487
_cell_length_b 9.8487
_cell_length_c 7.5538
_cell_angle_alpha 90.00
_cell_angle_beta 90.00
_cell_angle_gamma 90.00
loop_
_atom_site_label
_atom_site_type_symbol
_atom_site_fract_x
_atom_site_fract_y
_atom_site_fract_z
Rb1 Rb 0.2448 0.2500 0.1250
Zn1 Zn 0.0000 0.0000 0.0000
Hg1 Hg 0.0000 0.0000 0.5000
```

=====

# 5
First-principles (PBE) data for YZnCr2 after structural relaxation, as listed in Alexandria via LeMat-Bulk.

Results
* ΔH_f (0 K): 2.57 eV/f.u.
* magnetic moment: 0.0 Bohr magnetons per cell
* Fermi-level density of states: 3.9 states/eV/f.u.

The structure in CIF format:
```
data_YZnCr2
_chemical_formula_sum 'Y4 Zn4 Cr8'
_space_group_name_H-M_alt 'I 41/a m d'
_space_group_IT_number 141
_cell_length_a 4.1430
_cell_length_b 4.1430
_cell_length_c 18.3555
_cell_angle_alpha 90.00
_cell_angle_beta 90.00
_cell_angle_gamma 90.00
loop_
_space_group_symop_operation_xyz
'x,y,z'
'-x,-y,-z'
'-y+1/4,x+3/4,z+1/4'
'y+1/4,-x+3/4,-z+1/4'
'-x+1/2,-y,z+1/2'
'x+1/2,y,-z+1/2'
'y+1/4,-x+1/4,z+3/4'
'-y+1/4,x+1/4,-z+3/4'
'x,-y,-z'
'-x,y,z'
'-y+1/4,-x+1/4,-z+3/4'
'y+1/4,x+1/4,z+3/4'
'-x+1/2,y,-z+1/2'
'x+1/2,-y,z+1/2'
'y+1/4,x+3/4,-z+1/4'
'-y+1/4,-x+3/4,z+1/4'
'x+1/2,y+1/2,z+1/2'
'-x+1/2,-y+1/2,-z+1/2'
'-y+3/4,x+1/4,z+3/4'
'y+3/4,-x+1/4,-z+3/4'
'-x,-y+1/2,z'
'x,y+1/2,-z'
'y+3/4,-x+3/4,z+1/4'
'-y+3/4,x+3/4,-z+1/4'
'x+1/2,-y+1/2,-z+1/2'
'-x+1/2,y+1/2,z+1/2'
'-y+3/4,-x+3/4,-z+1/4'
'y+3/4,x+3/4,z+1/4'
'-x,y+1/2,-z'
'x,-y+1/2,z'
'y+3/4,x+1/4,-z+3/4'
'-y+3/4,-x+1/4,z+3/4'
loop_
_atom_site_label
_atom_site_type_symbol
_atom_site_fract_x
_atom_site_fract_y
_atom_site_fract_z
Y1 Y 0.0000 0.2500 0.3750
Zn1 Zn 0.0000 0.2500 0.8750
Cr1 Cr 0.0000 0.0000 0.0000
```

=====

# 6
First-principles (PBE) data for NbS2NF after structural relaxation, as listed in Alexandria via LeMat-Bulk.

Results
* magnetic moment: 2.9 Bohr magnetons per cell
* excess energy over the best structure of this formula in the dataset: 0.000 kcal/mol of atoms
* uncorrected formation energy: 0.0830 eV per atom
* Fermi-level density of states: 2.1 states/eV/f.u.

The structure in CIF format:
```
data_NbS2NF
_chemical_formula_sum 'Nb1 S2 N1 F1'
_space_group_name_H-M_alt 'P 4/m m m'
_space_group_IT_number 123
_space_group_name_Hall '-P 4 2'
_cell_length_a 4.8492
_cell_length_b 4.8492
_cell_length_c 4.0325
_cell_angle_alpha 90.00
_cell_angle_beta 90.00
_cell_angle_gamma 90.00
loop_
_atom_site_label
_atom_site_type_symbol
_atom_site_fract_x
_atom_site_fract_y
_atom_site_fract_z
Nb1 Nb 0.0000 0.0000 0.0000
S1 S 0.0000 0.5000 0.0000
N1 N 0.0000 0.0000 0.5000
F1 F 0.5000 0.5000 0.5000
```

=====

# 7
First-principles (PBE) data for BaLi4Pb2Au after structural relaxation, as listed in Alexandria via LeMat-Bulk.

Results
* ΔH_f (0 K): -2.78 eV/f.u.
* magnetic moment: 0.0 Bohr magnetons per cell
* Fermi-level density of states: 4.5 states/eV/f.u.

The structure in CIF format:
```
data_BaLi4Pb2Au
_chemical_formula_sum 'Ba3 Li12 Pb6 Au3'
_space_group_name_H-M_alt 'R -3 m'
_space_group_IT_number 166
_space_group_name_Hall '-R 3 2"'
_cell_length_a 4.7629
_cell_length_b 4.7629
_cell_length_c 29.7001
_cell_angle_alpha 90.00
_cell_angle_beta 90.00
_cell_angle_gamma 120.00
loop_
_atom_site_label
_atom_site_type_symbol
_atom_site_fract_x
_atom_site_fract_y
_atom_site_fract_z
Ba1 Ba 0.0000 0.0000 0.0000
Li1 Li 0.0000 0.0000 0.1407
Li2 Li 0.0000 0.0000 0.4163
Pb1 Pb 0.0000 0.0000 0.2431
Au1 Au 0.0000 0.0000 0.5000
```

=====

# 8
First-principles (PBE) data for LiYHRh2 after structural relaxation, as listed in Alexandria via LeMat-Bulk.

Results
* VASP energy: -29.0 eV for the cell shown
* magnetic moment: 0.0 Bohr magnetons per cell
* Fermi-level density of states: 2.5 states/eV/f.u.

The structure in CIF format:
```
data_LiYHRh2
_chemical_formula_sum 'Li1 Y1 H1 Rh2'
_space_group_name_H-M_alt 'P 4/m m m'
_space_group_IT_number 123
_space_group_name_Hall '-P 4 2'
_cell_length_a 4.1730
_cell_length_b 4.1730
_cell_length_c 3.8756
_cell_angle_alpha 90.00
_cell_angle_beta 90.00
_cell_angle_gamma 90.00
loop_
_atom_site_label
_atom_site_type_symbol
_atom_site_fract_x
_atom_site_fract_y
_atom_site_fract_z
Li1 Li 0.0000 0.0000 0.0000
Y1 Y 0.5000 0.5000 0.0000
H1 H 0.0000 0.0000 0.5000
Rh1 Rh 0.0000 0.5000 0.5000
```

=====

# 9
First-principles (PBE) data for CaPa2TeO8 after structural relaxation, as listed in Alexandria via LeMat-Bulk.

Results
* magnetic moment: 0.0 Bohr magnetons per cell
* uncorrected formation energy: -2.8474 eV per atom
* Fermi-level density of states: 0.0 states/eV/f.u.

The structure in CIF format:
```
data_CaPa2TeO8
_chemical_formula_sum 'Ca2 Pa4 Te2 O16'
_space_group_name_H-M_alt 'C m m m'
_space_group_IT_number 65
_space_group_name_Hall '-C 2 2'
_cell_length_a 7.1310
_cell_length_b 7.2332
_cell_length_c 7.1568
_cell_angle_alpha 90.00
_cell_angle_beta 90.00
_cell_angle_gamma 90.00
loop_
_atom_site_label
_atom_site_type_symbol
_atom_site_fract_x
_atom_site_fract_y
_atom_site_fract_z
Ca1 Ca 0.0000 0.0000 0.0000
Pa1 Pa 0.0000 0.5000 0.2483
Te1 Te 0.0000 0.0000 0.5000
O1 O 0.0000 0.3080 0.5000
O2 O 0.0000 0.3221 0.0000
O3 O 0.2008 0.0000 0.2682
```

=====

# 10
First-principles (PBE) data for Mn2CoRuC after structural relaxation, as listed in Alexandria via LeMat-Bulk.

Results
* ΔH_f (0 K): 0.93 eV/f.u.
* magnetic moment: 3.4 Bohr magnetons per cell
* Fermi-level density of states: 6.5 states/eV/f.u.

The structure in CIF format:
```
data_Mn2CoRuC
_chemical_formula_sum 'Mn2 Co1 Ru1 C1'
_space_group_name_H-M_alt 'P 4/m m m'
_space_group_IT_number 123
_space_group_name_Hall '-P 4 2'
_cell_length_a 3.8160
_cell_length_b 3.8160
_cell_length_c 3.7290
_cell_angle_alpha 90.00
_cell_angle_beta 90.00
_cell_angle_gamma 90.00
loop_
_atom_site_label
_atom_site_type_symbol
_atom_site_fract_x
_atom_site_fract_y
_atom_site_fract_z
Mn1 Mn 0.0000 0.5000 0.0000
Co1 Co 0.0000 0.0000 0.5000
Ru1 Ru 0.5000 0.5000 0.5000
C1 C 0.0000 0.0000 0.0000
```

=====

# 11
First-principles (PBE) data for CuN after structural relaxation, as listed in Alexandria via LeMat-Bulk.

Results
* magnetic moment: 0.0 Bohr magnetons per cell
* excess energy over the best structure of this formula in the dataset: 14.608 kcal/mol of atoms
* uncorrected formation energy: 1.0109 eV per atom
* Fermi-level density of states: 1.0 states/eV/f.u.

The structure in CIF format:
```
data_CuN
_chemical_formula_sum 'Cu6 N6'
_space_group_name_H-M_alt 'P m -3 n'
_space_group_IT_number 223
_space_group_name_Hall '-P 4n 2 3'
_cell_length_a 5.4235
_cell_length_b 5.4235
_cell_length_c 5.4235
_cell_angle_alpha 90.00
_cell_angle_beta 90.00
_cell_angle_gamma 90.00
loop_
_atom_site_label
_atom_site_type_symbol
_atom_site_fract_x
_atom_site_fract_y
_atom_site_fract_z
Cu1 Cu 0.0000 0.2500 0.5000
N1 N 0.0000 0.5000 0.2500
```

=====

# 12
First-principles (PBE) data for Pr4NdSc2 after structural relaxation, as listed in Alexandria via LeMat-Bulk.

Results
* ΔH_f (0 K): 0.53 eV/f.u.
* magnetic moment: 0.0 Bohr magnetons per cell
* excess energy over the best structure of this formula in the dataset: 0.000 kcal/mol of atoms
* Fermi-level density of states: 10.5 states/eV/f.u.

The structure in CIF format:
```
data_Pr4NdSc2
_chemical_formula_sum 'Pr8 Nd2 Sc4'
_space_group_name_H-M_alt 'P -1'
_space_group_IT_number 2
_space_group_name_Hall '-P 1'
_cell_length_a 3.6138
_cell_length_b 8.6008
_cell_length_c 15.0286
_cell_angle_alpha 100.24
_cell_angle_beta 90.02
_cell_angle_gamma 90.06
loop_
_atom_site_label
_atom_site_type_symbol
_atom_site_fract_x
_atom_site_fract_y
_atom_site_fract_z
Pr1 Pr 0.2435 0.0617 0.4021
Pr2 Pr 0.2475 0.5661 0.1135
Pr3 Pr 0.2502 0.1798 0.0127
Pr4 Pr 0.2532 0.6341 0.4485
Nd1 Nd 0.2481 0.6751 0.7350
Sc1 Sc 0.2497 0.9730 0.1794
Sc2 Sc 0.2513 0.2485 0.7150
```